#1
The following is a DFT calculation (GGA-PBE) of Ag5Te6Au after structural relaxation.

Structure (CIF):
```
data_Ag5Te6Au
_cell_length_a 7.0413
_cell_length_b 8.3590
_cell_length_c 6.9813
_cell_angle_alpha 116.38
_cell_angle_beta 99.85
_cell_angle_gamma 103.50
_space_group_name_H-M_alt 'P 1'
_space_group_IT_number 1
_space_group_name_Hall 'P 1'
loop_
_atom_site_label
_atom_site_fract_x
_atom_site_fract_y
_atom_site_fract_z
_atom_site_occupancy
Te1 0.7467 0.4927 0.8734 1
Te2 0.2533 0.5073 0.1266 1
Te3 0.7456 0.8320 0.5539 1
Te4 0.2544 0.1680 0.4461 1
Au1 0.0000 0.0000 0.0000 1
Ag1 0.9948 0.6661 0.3340 1
Ag2 0.5036 0.1646 0.8316 1
Ag3 0.0052 0.3339 0.6660 1
Ag4 0.4964 0.8354 0.1684 1
Te5 0.2480 0.8414 0.7915 1
Te6 0.7520 0.1586 0.2085 1
Ag5 0.5000 0.5000 0.5000 1
```

Output
For the density of states at the Fermi level, the calculation gives 0.31 states/eV per atom. Its spin magnetization is 0.00 μB/f.u. The space group is P-1, No. 2.



#2
The following is a DFT calculation (GGA-PBE) of Ag5Te6Au after structural relaxation.

Structure (CIF):
```
data_Ag5Te6Au
_cell_length_a 7.1735
_cell_length_b 7.1781
_cell_length_c 7.1836
_cell_angle_alpha 60.03
_cell_angle_beta 80.28
_cell_angle_gamma 70.24
_space_group_name_H-M_alt 'P 1'
_space_group_IT_number 1
_space_group_name_Hall 'P 1'
loop_
_atom_site_label
_atom_site_fract_x
_atom_site_fract_y
_atom_site_fract_z
_atom_site_occupancy
Te1 0.7465 0.0844 0.3269 1
Au1 0.0000 0.0000 0.0000 1
Ag1 0.0000 0.3318 0.3363 1
Te2 0.2337 0.2412 0.0000 1
Ag2 0.5000 0.5000 0.0000 1
Ag3 0.5000 0.1649 0.6702 1
Te3 0.2535 0.5887 0.3269 1
Ag4 0.5000 0.8351 0.3298 1
Te4 0.7465 0.4113 0.6731 1
Te5 0.7663 0.7588 0.0000 1
Te6 0.2535 0.9156 0.6731 1
Ag5 0.0000 0.6682 0.6637 1
```

Output
For the density of states at the Fermi level, the calculation gives 0.52 states/eV per atom. Its spin magnetization is 0.00 μB/f.u. The space group is C2/m, No. 12.



Most stable: #1 (next structure +2.6 kJ/mol of atoms)



#1
The following is a DFT calculation (GGA-PBE) of TiAg3Au after structural relaxation.

Structure (CIF):
```
data_TiAg3Au
_cell_length_a 4.9782
_cell_length_b 4.9782
_cell_length_c 4.9782
_cell_angle_alpha 90.00
_cell_angle_beta 90.00
_cell_angle_gamma 90.00
_space_group_name_H-M_alt 'P 1'
_space_group_IT_number 1
_space_group_name_Hall 'P 1'
loop_
_atom_site_label
_atom_site_fract_x
_atom_site_fract_y
_atom_site_fract_z
_atom_site_occupancy
Ag1 0.0000 0.5000 0.0000 1
Ti1 0.0000 0.0000 0.0000 1
Ag2 0.5000 0.0000 0.0000 1
Ag3 0.0000 0.0000 0.5000 1
Au1 0.5000 0.5000 0.5000 1
```

Output
For the density of states at the Fermi level, the calculation gives 0.55 states/eV per atom. Its spin magnetization is 1.63 μB/f.u. The space group is Pm-3m, No. 221.



#2
The following is a DFT calculation (GGA-PBE) of TiAg3Au after structural relaxation.

Structure (CIF):
```
data_TiAg3Au
_cell_length_a 5.0578
_cell_length_b 5.0578
_cell_length_c 5.0578
_cell_angle_alpha 90.00
_cell_angle_beta 90.00
_cell_angle_gamma 90.00
_space_group_name_H-M_alt 'P 1'
_space_group_IT_number 1
_space_group_name_Hall 'P 1'
loop_
_atom_site_label
_atom_site_fract_x
_atom_site_fract_y
_atom_site_fract_z
_atom_site_occupancy
Au1 0.0000 0.0000 0.0000 1
Ti1 0.5000 0.5000 0.5000 1
Ag1 0.0000 0.0000 0.5000 1
Ag2 0.5000 0.0000 0.0000 1
Ag3 0.0000 0.5000 0.0000 1
```

Output
For the density of states at the Fermi level, the calculation gives 4.61 states/eV per atom. Its spin magnetization is 0.00 μB/f.u. The space group is Pm-3m, No. 221.



Most stable: #2 (next structure +13.8 kJ/mol of atoms)



#1
The following is a DFT calculation (GGA-PBE) of TiAgAu3 after structural relaxation.

Structure (CIF):
```
data_TiAgAu3
_cell_length_a 5.0909
_cell_length_b 5.3270
_cell_length_c 7.6648
_cell_angle_alpha 110.33
_cell_angle_beta 90.00
_cell_angle_gamma 90.00
_space_group_name_H-M_alt 'P 1'
_space_group_IT_number 1
_space_group_name_Hall 'P 1'
loop_
_atom_site_label
_atom_site_fract_x
_atom_site_fract_y
_atom_site_fract_z
_atom_site_occupancy
Au1 0.2500 0.0921 0.6811 1
Au2 0.0000 0.0000 0.0000 1
Ag1 0.7500 0.4185 0.8373 1
Ti1 0.2500 0.1814 0.3614 1
Ag2 0.2500 0.5815 0.1627 1
Ti2 0.7500 0.8186 0.6386 1
Au3 0.7500 0.4109 0.3183 1
Au4 0.5000 0.0000 0.0000 1
Au5 0.7500 0.9079 0.3189 1
Au6 0.2500 0.5891 0.6817 1
```

Output
For the density of states at the Fermi level, the calculation gives 0.73 states/eV per atom. Its spin magnetization is 0.00 μB/f.u. The space group is P2_1/m, No. 11.



#2
The following is a DFT calculation (GGA-PBE) of TiAgAu3 after structural relaxation.

Structure (CIF):
```
data_TiAgAu3
_cell_length_a 6.1966
_cell_length_b 8.7615
_cell_length_c 8.7615
_cell_angle_alpha 57.49
_cell_angle_beta 90.00
_cell_angle_gamma 90.00
_space_group_name_H-M_alt 'P 1'
_space_group_IT_number 1
_space_group_name_Hall 'P 1'
loop_
_atom_site_label
_atom_site_fract_x
_atom_site_fract_y
_atom_site_fract_z
_atom_site_occupancy
Au1 0.4957 0.0776 0.7194 1
Ag1 0.2500 0.9908 0.5063 1
Au2 0.4957 0.2806 0.9224 1
Au3 0.5043 0.9224 0.2806 1
Ag2 0.7500 0.0092 0.4937 1
Au4 0.5000 0.6375 0.6374 1
Ti1 0.2500 0.9976 0.0024 1
Ti2 0.7500 0.3871 0.6129 1
Ti3 0.7500 0.0024 0.9976 1
Au5 0.5000 0.3625 0.3626 1
Ti4 0.2500 0.6129 0.3871 1
Ag3 0.7500 0.5063 0.9908 1
Au6 0.9957 0.9224 0.2806 1
Au7 0.0000 0.6374 0.6375 1
Ag4 0.2500 0.4937 0.0092 1
Au8 0.5043 0.7194 0.0776 1
Au9 0.9957 0.7194 0.0776 1
Au10 0.0000 0.3626 0.3625 1
Au11 0.0043 0.2806 0.9224 1
Au12 0.0043 0.0776 0.7194 1
```

Output
For the density of states at the Fermi level, the calculation gives 0.67 states/eV per atom. Its spin magnetization is 0.32 μB/f.u. The space group is Cmcm, No. 63.



Most stable: #2 (next structure +5.4 kJ/mol of atoms)



#1
The following is a DFT calculation (GGA-PBE) of ZrTiAgAu after structural relaxation.

Structure (CIF):
```
data_ZrTiAgAu
_cell_length_a 3.4446
_cell_length_b 3.4446
_cell_length_c 6.3287
_cell_angle_alpha 90.00
_cell_angle_beta 90.00
_cell_angle_gamma 90.00
_space_group_name_H-M_alt 'P 1'
_space_group_IT_number 1
_space_group_name_Hall 'P 1'
loop_
_atom_site_label
_atom_site_fract_x
_atom_site_fract_y
_atom_site_fract_z
_atom_site_occupancy
Zr1 0.0000 0.0000 0.8485 1
Ti1 0.5000 0.5000 0.1272 1
Au1 0.5000 0.5000 0.6021 1
Ag1 0.0000 0.0000 0.3501 1
```

Output
For the density of states at the Fermi level, the calculation gives 0.63 states/eV per atom. Its spin magnetization is 0.00 μB/f.u. The space group is P4mm, No. 99.



#2
The following is a DFT calculation (GGA-PBE) of ZrTiAgAu after structural relaxation.

Structure (CIF):
```
data_ZrTiAgAu
_cell_length_a 4.7651
_cell_length_b 4.7651
_cell_length_c 4.7651
_cell_angle_alpha 60.00
_cell_angle_beta 60.00
_cell_angle_gamma 60.00
_space_group_name_H-M_alt 'P 1'
_space_group_IT_number 1
_space_group_name_Hall 'P 1'
loop_
_atom_site_label
_atom_site_fract_x
_atom_site_fract_y
_atom_site_fract_z
_atom_site_occupancy
Zr1 0.7500 0.7500 0.7500 1
Ti1 0.2500 0.2500 0.2500 1
Ag1 0.5000 0.5000 0.5000 1
Au1 0.0000 0.0000 0.0000 1
```

Output
For the density of states at the Fermi level, the calculation gives 0.92 states/eV per atom. Its spin magnetization is 1.89 μB/f.u. The space group is F-43m, No. 216.



Most stable: #1 (next structure +10.8 kJ/mol of atoms)



#1
The following is a DFT calculation (GGA-PBE) of TlAgAu3 after structural relaxation.

Structure (CIF):
```
data_TlAgAu3
_cell_length_a 5.1917
_cell_length_b 5.1917
_cell_length_c 5.1917
_cell_angle_alpha 90.00
_cell_angle_beta 90.00
_cell_angle_gamma 90.00
_space_group_name_H-M_alt 'P 1'
_space_group_IT_number 1
_space_group_name_Hall 'P 1'
loop_
_atom_site_label
_atom_site_fract_x
_atom_site_fract_y
_atom_site_fract_z
_atom_site_occupancy
Au1 0.0000 0.5000 0.0000 1
Tl1 0.5000 0.5000 0.5000 1
Au2 0.0000 0.0000 0.5000 1
Ag1 0.0000 0.0000 0.0000 1
Au3 0.5000 0.0000 0.0000 1
```

Output
For the density of states at the Fermi level, the calculation gives 0.29 states/eV per atom. Its spin magnetization is 0.00 μB/f.u. The space group is Pm-3m, No. 221.



#2
The following is a DFT calculation (GGA-PBE) of TlAgAu3 after structural relaxation.

Structure (CIF):
```
data_TlAgAu3
_cell_length_a 4.7936
_cell_length_b 7.9292
_cell_length_c 5.5085
_cell_angle_alpha 107.90
_cell_angle_beta 90.00
_cell_angle_gamma 90.00
_space_group_name_H-M_alt 'P 1'
_space_group_IT_number 1
_space_group_name_Hall 'P 1'
loop_
_atom_site_label
_atom_site_fract_x
_atom_site_fract_y
_atom_site_fract_z
_atom_site_occupancy
Au1 0.2500 0.2757 0.6675 1
Tl1 0.2500 0.6894 0.9672 1
Au2 0.7500 0.8940 0.8899 1
Ag1 0.2500 0.9051 0.5677 1
Tl2 0.7500 0.3106 0.0328 1
Au3 0.7500 0.4883 0.6378 1
Au4 0.7500 0.7243 0.3325 1
Au5 0.2500 0.1060 0.1101 1
Au6 0.2500 0.5117 0.3622 1
Ag2 0.7500 0.0949 0.4323 1
```

Output
For the density of states at the Fermi level, the calculation gives 0.38 states/eV per atom. Its spin magnetization is 0.00 μB/f.u. The space group is P2_1/m, No. 11.



Most stable: #2 (next structure +40.4 kJ/mol of atoms)



#1
The following is a DFT calculation (GGA-PBE) of Tm2AgAu2 after structural relaxation.

Structure (CIF):
```
data_Tm2AgAu2
_cell_length_a 3.6419
_cell_length_b 7.8519
_cell_length_c 7.8519
_cell_angle_alpha 90.00
_cell_angle_beta 90.00
_cell_angle_gamma 90.00
_space_group_name_H-M_alt 'P 1'
_space_group_IT_number 1
_space_group_name_Hall 'P 1'
loop_
_atom_site_label
_atom_site_fract_x
_atom_site_fract_y
_atom_site_fract_z
_atom_site_occupancy
Tm1 0.5000 0.6677 0.8323 1
Tm2 0.5000 0.3323 0.1677 1
Tm3 0.5000 0.1677 0.6677 1
Au1 0.0000 0.6318 0.1318 1
Au2 0.0000 0.3682 0.8682 1
Ag1 0.0000 0.0000 0.0000 1
Tm4 0.5000 0.8323 0.3323 1
Ag2 0.0000 0.5000 0.5000 1
Au3 0.0000 0.1318 0.3682 1
Au4 0.0000 0.8682 0.6318 1
```

Output
For the density of states at the Fermi level, the calculation gives 0.63 states/eV per atom. Its spin magnetization is 0.00 μB/f.u. The space group is P4/mbm, No. 127.



#2
The following is a DFT calculation (GGA-PBE) of Tm2AgAu2 after structural relaxation.

Structure (CIF):
```
data_Tm2AgAu2
_cell_length_a 5.7926
_cell_length_b 7.7764
_cell_length_c 8.3720
_cell_angle_alpha 137.16
_cell_angle_beta 110.24
_cell_angle_gamma 90.00
_space_group_name_H-M_alt 'P 1'
_space_group_IT_number 1
_space_group_name_Hall 'P 1'
loop_
_atom_site_label
_atom_site_fract_x
_atom_site_fract_y
_atom_site_fract_z
_atom_site_occupancy
Au1 0.9936 0.2277 0.7398 1
Tm1 0.2080 0.8368 0.6909 1
Au2 0.0064 0.7723 0.2602 1
Au3 0.2538 0.2723 0.2602 1
Tm2 0.4830 0.3368 0.6909 1
Ag1 0.2419 0.7500 0.0000 1
Au4 0.7462 0.7277 0.7398 1
Tm3 0.7920 0.1632 0.3091 1
Ag2 0.7581 0.2500 0.0000 1
Tm4 0.5170 0.6632 0.3091 1
```

Output
For the density of states at the Fermi level, the calculation gives 0.66 states/eV per atom. Its spin magnetization is 0.00 μB/f.u. The space group is C2/c, No. 15.



Most stable: #1 (next structure +9.5 kJ/mol of atoms)